--- w ---
This record from Alexandria via LeMat-Bulk describes a relaxed structure of Pr2Dy6Y3. The functional is PBE.

abc: 16.975 16.975 16.975
angles: 163.86 163.86 22.90
Sites, in units of the cell vectors:
1 Pr 0.046 0.046 0.000
2 Pr 0.954 0.954 0.000
3 Dy 0.122 0.622 0.500
4 Dy 0.193 0.193 0.000
5 Dy 0.378 0.878 0.500
6 Dy 0.622 0.122 0.500
7 Dy 0.807 0.807 0.000
8 Dy 0.878 0.378 0.500
9 Y 0.297 0.297 0.000
10 Y 0.500 0.500 0.000
11 Y 0.703 0.703 0.000


--- x ---
This record from Alexandria via LeMat-Bulk describes a relaxed structure of Pr2Dy6Y3. The functional is PBE.

abc: 6.148 6.148 11.766
angles: 95.04 95.04 120.07
Sites, in units of the cell vectors:
1 Pr 0.167 0.833 0.000
2 Pr 0.833 0.167 0.000
3 Dy 0.082 0.416 0.747
4 Dy 0.250 0.250 0.253
5 Dy 0.416 0.082 0.747
6 Dy 0.584 0.918 0.253
7 Dy 0.750 0.750 0.747
8 Dy 0.918 0.584 0.253
9 Y 0.000 0.000 0.500
10 Y 0.335 0.665 0.500
11 Y 0.665 0.335 0.500


Result of the stability comparison: w is the least stable of them.


--- w ---
This record from Alexandria via LeMat-Bulk describes a relaxed structure of Pr3Dy8Y2. The functional is PBE.

abc: 10.811 10.811 5.674
angles: 90.04 90.04 41.97
Sites, in units of the cell vectors:
1 Pr 0.000 0.000 0.000
2 Pr 0.293 0.707 0.500
3 Pr 0.707 0.293 0.500
4 Dy 0.135 0.135 0.499
5 Dy 0.183 0.600 0.000
6 Dy 0.329 0.329 0.499
7 Dy 0.400 0.817 0.000
8 Dy 0.600 0.183 0.000
9 Dy 0.671 0.671 0.501
10 Dy 0.817 0.400 0.000
11 Dy 0.865 0.865 0.501
12 Y 0.241 0.241 0.999
13 Y 0.759 0.759 0.001


--- x ---
This record from Alexandria via LeMat-Bulk describes a relaxed structure of Pr3Dy8Y2. The functional is PBE.

abc: 6.213 8.026 9.485
angles: 65.03 89.92 82.47
Sites, in units of the cell vectors:
1 Pr 0.000 0.000 0.000
2 Pr 0.461 0.233 0.845
3 Pr 0.539 0.767 0.155
4 Dy 0.077 0.535 0.310
5 Dy 0.153 0.077 0.614
6 Dy 0.230 0.615 0.923
7 Dy 0.308 0.156 0.233
8 Dy 0.692 0.844 0.767
9 Dy 0.770 0.385 0.077
10 Dy 0.847 0.923 0.386
11 Dy 0.923 0.465 0.690
12 Y 0.384 0.694 0.539
13 Y 0.616 0.306 0.461


Result of the stability comparison: w is the least stable of them.


--- w ---
This record from Alexandria via LeMat-Bulk describes a relaxed structure of Pr8Dy2Y. The functional is PBE.

abc: 8.040 8.040 8.762
angles: 112.98 112.98 50.63
Sites, in units of the cell vectors:
1 Pr 0.108 0.108 0.994
2 Pr 0.146 0.662 0.614
3 Pr 0.239 0.239 0.780
4 Pr 0.338 0.854 0.386
5 Pr 0.662 0.146 0.614
6 Pr 0.761 0.761 0.220
7 Pr 0.854 0.338 0.386
8 Pr 0.892 0.892 0.006
9 Dy 0.359 0.359 0.243
10 Dy 0.641 0.641 0.757
11 Y 0.500 0.500 0.000


--- x ---
This record from Alexandria via LeMat-Bulk describes a relaxed structure of Pr8Dy2Y. The functional is PBE.

abc: 9.191 9.191 6.761
angles: 99.43 99.43 43.99
Sites, in units of the cell vectors:
1 Pr 0.095 0.095 0.917
2 Pr 0.151 0.675 0.593
3 Pr 0.256 0.256 0.679
4 Pr 0.325 0.849 0.407
5 Pr 0.675 0.151 0.593
6 Pr 0.744 0.744 0.321
7 Pr 0.849 0.325 0.407
8 Pr 0.905 0.905 0.083
9 Dy 0.304 0.304 0.191
10 Dy 0.696 0.696 0.809
11 Y 0.500 0.500 0.000


Result of the stability comparison: w is the least stable of them.


--- w ---
This record from Alexandria via LeMat-Bulk describes a relaxed structure of PrDy2Y5. The functional is PBE.

abc: 6.609 6.609 15.840
angles: 90.00 90.00 129.89
Sites, in units of the cell vectors:
1 Pr 0.228 0.772 0.750
2 Pr 0.772 0.228 0.250
3 Dy 0.283 0.717 0.129
4 Dy 0.283 0.717 0.371
5 Dy 0.717 0.283 0.629
6 Dy 0.717 0.283 0.871
7 Y 0.045 0.955 0.250
8 Y 0.119 0.881 0.549
9 Y 0.119 0.881 0.951
10 Y 0.420 0.580 0.592
11 Y 0.420 0.580 0.908
12 Y 0.580 0.420 0.092
13 Y 0.580 0.420 0.408
14 Y 0.881 0.119 0.049
15 Y 0.881 0.119 0.451
16 Y 0.955 0.045 0.750


--- x ---
This record from Alexandria via LeMat-Bulk describes a relaxed structure of PrDy2Y5. The functional is PBE.

abc: 6.767 9.268 9.277
angles: 86.12 72.29 72.22
Sites, in units of the cell vectors:
1 Pr 0.128 0.229 0.395
2 Pr 0.872 0.771 0.605
3 Dy 0.127 0.395 0.730
4 Dy 0.376 0.853 0.520
5 Dy 0.624 0.147 0.480
6 Dy 0.873 0.605 0.270
7 Y 0.123 0.896 0.228
8 Y 0.127 0.729 0.898
9 Y 0.373 0.355 0.020
10 Y 0.376 0.022 0.854
11 Y 0.376 0.523 0.354
12 Y 0.624 0.477 0.646
13 Y 0.624 0.978 0.146
14 Y 0.627 0.645 0.980
15 Y 0.873 0.271 0.102
16 Y 0.877 0.104 0.772


Result of the stability comparison: w is the least stable of them.


--- w ---
This record from Alexandria via LeMat-Bulk describes a relaxed structure of Pr3Dy6Y2. The functional is PBE.

abc: 6.753 6.753 10.497
angles: 90.02 90.02 129.60
Sites, in units of the cell vectors:
1 Pr 0.000 0.000 0.000
2 Pr 0.294 0.706 0.000
3 Pr 0.706 0.294 0.000
4 Dy 0.149 0.850 0.303
5 Dy 0.150 0.851 0.697
6 Dy 0.499 0.499 0.211
7 Dy 0.501 0.501 0.789
8 Dy 0.850 0.149 0.303
9 Dy 0.851 0.150 0.697
10 Y 0.367 0.633 0.500
11 Y 0.633 0.367 0.500


--- x ---
This record from Alexandria via LeMat-Bulk describes a relaxed structure of Pr3Dy6Y2. The functional is PBE.

abc: 17.112 17.112 17.112
angles: 163.94 163.94 22.79
Sites, in units of the cell vectors:
1 Pr 0.000 0.000 0.000
2 Pr 0.204 0.204 0.000
3 Pr 0.796 0.796 0.000
4 Dy 0.121 0.621 0.500
5 Dy 0.307 0.307 0.000
6 Dy 0.379 0.879 0.500
7 Dy 0.621 0.121 0.500
8 Dy 0.693 0.693 0.000
9 Dy 0.879 0.379 0.500
10 Y 0.454 0.454 0.000
11 Y 0.546 0.546 0.000


Result of the stability comparison: x is the least stable of them.


--- w ---
This record from Alexandria via LeMat-Bulk describes a relaxed structure of Pr3DyY4. The functional is PBE.

abc: 3.503 11.795 13.191
angles: 90.00 90.00 90.00
Sites, in units of the cell vectors:
1 Pr 0.000 0.000 0.000
2 Pr 0.000 0.500 0.243
3 Pr 0.000 0.500 0.757
4 Pr 0.500 0.000 0.257
5 Pr 0.500 0.000 0.743
6 Pr 0.500 0.500 0.500
7 Dy 0.000 0.000 0.500
8 Dy 0.500 0.500 0.000
9 Y 0.000 0.246 0.366
10 Y 0.000 0.246 0.634
11 Y 0.000 0.754 0.366
12 Y 0.000 0.754 0.634
13 Y 0.500 0.254 0.134
14 Y 0.500 0.254 0.866
15 Y 0.500 0.746 0.134
16 Y 0.500 0.746 0.866


--- x ---
This record from Alexandria via LeMat-Bulk describes a relaxed structure of Pr3DyY4. The functional is PBE.

abc: 11.596 7.379 6.360
angles: 90.00 90.00 90.00
Sites, in units of the cell vectors:
1 Pr 0.000 0.126 0.000
2 Pr 0.250 0.125 0.331
3 Pr 0.250 0.875 0.831
4 Pr 0.500 0.874 0.500
5 Pr 0.750 0.125 0.331
6 Pr 0.750 0.875 0.831
7 Dy 0.000 0.871 0.498
8 Dy 0.500 0.129 0.998
9 Y 0.000 0.377 0.497
10 Y 0.000 0.622 0.998
11 Y 0.248 0.623 0.333
12 Y 0.252 0.377 0.833
13 Y 0.500 0.378 0.498
14 Y 0.500 0.623 0.997
15 Y 0.748 0.377 0.833
16 Y 0.752 0.623 0.333


Result of the stability comparison: w is the least stable of them.


--- w ---
This record from Alexandria via LeMat-Bulk describes a relaxed structure of Pr2DyZn2. The functional is PBE.

abc: 7.737 7.737 7.737
angles: 121.81 78.37 132.41
Sites, in units of the cell vectors:
1 Pr 0.203 0.160 0.363
2 Pr 0.297 0.660 0.957
3 Pr 0.703 0.340 0.043
4 Pr 0.797 0.840 0.637
5 Dy 0.250 0.750 0.500
6 Dy 0.750 0.250 0.500
7 Zn 0.055 0.833 0.889
8 Zn 0.445 0.333 0.778
9 Zn 0.555 0.667 0.222
10 Zn 0.945 0.167 0.111


--- x ---
This record from Alexandria via LeMat-Bulk describes a relaxed structure of Pr2DyZn2. The functional is PBE.

abc: 3.690 20.347 3.586
angles: 90.00 90.00 90.00
Sites, in units of the cell vectors:
1 Pr 0.000 0.174 0.000
2 Pr 0.000 0.826 0.000
3 Pr 0.500 0.326 0.000
4 Pr 0.500 0.674 0.000
5 Dy 0.000 0.000 0.000
6 Dy 0.500 0.500 0.000
7 Zn 0.000 0.419 0.500
8 Zn 0.000 0.581 0.500
9 Zn 0.500 0.081 0.500
10 Zn 0.500 0.919 0.500


Result of the stability comparison: w is the least stable of them.


--- w ---
This record from Alexandria via LeMat-Bulk describes a relaxed structure of Pr2Dy3Zn2. The functional is PBE.

abc: 3.657 30.590 3.559
angles: 90.00 90.00 90.00
Sites, in units of the cell vectors:
1 Pr 0.000 0.199 0.000
2 Pr 0.000 0.801 0.000
3 Pr 0.500 0.301 0.000
4 Pr 0.500 0.699 0.000
5 Dy 0.000 0.081 0.000
6 Dy 0.000 0.500 0.500
7 Dy 0.000 0.919 0.000
8 Dy 0.500 0.000 0.500
9 Dy 0.500 0.419 0.000
10 Dy 0.500 0.581 0.000
11 Zn 0.000 0.364 0.500
12 Zn 0.000 0.636 0.500
13 Zn 0.500 0.136 0.500
14 Zn 0.500 0.864 0.500


--- x ---
This record from Alexandria via LeMat-Bulk describes a relaxed structure of Pr2Dy3Zn2. The functional is PBE.

abc: 11.678 4.760 8.173
angles: 90.00 117.43 90.00
Sites, in units of the cell vectors:
1 Pr 0.137 0.000 0.293
2 Pr 0.363 0.500 0.707
3 Pr 0.637 0.500 0.293
4 Pr 0.863 0.000 0.707
5 Dy 0.000 0.500 0.500
6 Dy 0.135 0.500 0.965
7 Dy 0.365 0.000 0.035
8 Dy 0.500 0.000 0.500
9 Dy 0.635 0.000 0.965
10 Dy 0.865 0.500 0.035
11 Zn 0.142 0.000 0.692
12 Zn 0.358 0.500 0.308
13 Zn 0.642 0.500 0.692
14 Zn 0.858 0.000 0.308


Result of the stability comparison: x is the least stable of them.